[1]
# Sc2InTcB, relaxed, DFT PBE
data_Sc2InTcB
_space_group_name_H-M_alt 'P 4/m m m'
_space_group_IT_number 123
_space_group_name_Hall '-P 4 2'
_cell_length_a 4.694
_cell_length_b 4.694
_cell_length_c 4.076
_cell_angle_alpha 90.00
_cell_angle_beta 90.00
_cell_angle_gamma 90.00
loop_
_atom_site_label
_atom_site_fract_x
_atom_site_fract_y
_atom_site_fract_z
Sc1 0.000 0.500 0.000
In1 0.000 0.000 0.500
Tc1 0.500 0.500 0.500
B1 0.500 0.500 0.000
# Formation enthalpy at 0 K ... -0.3626 eV/atom
# Magnetization ... 0.0 μB per formula unit
# Calculated volume ... 90 Å³/cell

=====

[2]
# TbZn2Pd9, relaxed, DFT PBE
data_TbZn2Pd9
_space_group_name_H-M_alt 'P 4/m m m'
_space_group_IT_number 123
_space_group_name_Hall '-P 4 2'
_cell_length_a 4.027
_cell_length_b 4.027
_cell_length_c 11.771
_cell_angle_alpha 90.00
_cell_angle_beta 90.00
_cell_angle_gamma 90.00
loop_
_atom_site_label
_atom_site_fract_x
_atom_site_fract_y
_atom_site_fract_z
Tb1 0.000 0.000 0.000
Zn1 0.000 0.000 0.343
Pd1 0.000 0.500 0.181
Pd2 0.000 0.500 0.500
Pd3 0.500 0.500 0.000
Pd4 0.500 0.500 0.340
# Formation enthalpy at 0 K ... -0.4742 eV/atom
# Magnetization ... 0.0 μB per formula unit
# Calculated volume ... 191 Å³/cell

=====

[3]
# Pm4HoS6, relaxed, DFT PBE
data_Pm4HoS6
_space_group_name_H-M_alt 'C m c m'
_space_group_IT_number 63
_space_group_name_Hall '-C 2c 2'
_cell_length_a 3.897
_cell_length_b 13.275
_cell_length_c 20.271
_cell_angle_alpha 90.00
_cell_angle_beta 90.00
_cell_angle_gamma 90.00
loop_
_atom_site_label
_atom_site_fract_x
_atom_site_fract_y
_atom_site_fract_z
Pm1 0.000 0.090 0.130
Pm2 0.000 0.360 0.041
Ho1 0.000 0.152 0.750
S1 0.000 0.000 0.000
S2 0.000 0.201 0.250
S3 0.000 0.271 0.590
S4 0.000 0.445 0.170
# Formation energy from raw total energies ... -22.3 eV/f.u.
# Magnetization ... 0.0 μB per formula unit
# Calculated volume ... 1049 Å³/cell

=====

[4]
# Sm6As2Se3Br, relaxed, DFT PBE
data_Sm6As2Se3Br
_space_group_name_H-M_alt 'C 1 2/m 1'
_space_group_IT_number 12
_cell_length_a 18.314
_cell_length_b 4.201
_cell_length_c 8.425
_cell_angle_alpha 90.00
_cell_angle_beta 102.68
_cell_angle_gamma 90.00
loop_
_space_group_symop_operation_xyz
'x,y,z'
'-x,-y,-z'
'-x,y,-z'
'x,-y,z'
'x+1/2,y+1/2,z'
'-x+1/2,-y+1/2,-z'
'-x+1/2,y+1/2,-z'
'x+1/2,-y+1/2,z'
loop_
_atom_site_label
_atom_site_fract_x
_atom_site_fract_y
_atom_site_fract_z
Sm1 0.005 0.000 0.277
Sm2 0.169 0.500 0.579
Sm3 0.178 0.500 0.100
As1 0.166 0.000 0.332
Se1 0.000 0.500 0.500
Se2 0.160 0.000 0.835
Br1 0.000 0.500 0.000
# Formation energy from raw total energies ... -19.7 eV/f.u.
# Magnetization ... 0.0 μB per formula unit
# Calculated volume ... 632 Å³/cell

=====

[5]
# CaHfMgSc2, relaxed, DFT PBE
data_CaHfMgSc2
_space_group_name_H-M_alt 'P 4/m m m'
_space_group_IT_number 123
_space_group_name_Hall '-P 4 2'
_cell_length_a 5.228
_cell_length_b 5.228
_cell_length_c 5.607
_cell_angle_alpha 90.00
_cell_angle_beta 90.00
_cell_angle_gamma 90.00
loop_
_atom_site_label
_atom_site_fract_x
_atom_site_fract_y
_atom_site_fract_z
Ca1 0.000 0.000 0.000
Hf1 0.500 0.500 0.500
Mg1 0.500 0.500 0.000
Sc1 0.000 0.500 0.500
# Formation enthalpy at 0 K ... 0.6165 eV/atom
# Magnetization ... 0.0 μB per formula unit
# Calculated volume ... 153 Å³/cell

=====

[6]
# Tl4SiPb, relaxed, DFT PBE
data_Tl4SiPb
_space_group_name_H-M_alt 'F -4 3 m'
_space_group_IT_number 216
_space_group_name_Hall 'F -4 2 3'
_cell_length_a 8.996
_cell_length_b 8.996
_cell_length_c 8.996
_cell_angle_alpha 90.00
_cell_angle_beta 90.00
_cell_angle_gamma 90.00
loop_
_atom_site_label
_atom_site_fract_x
_atom_site_fract_y
_atom_site_fract_z
Tl1 0.125 0.125 0.125
Si1 0.000 0.000 0.500
Pb1 0.250 0.250 0.750
# Formation energy from raw total energies ... 2.6 eV/f.u.
# Magnetization ... 0.0 μB per formula unit
# Calculated volume ... 728 Å³/cell

=====

[7]
# K2CoSiN, relaxed, DFT PBE
data_K2CoSiN
_space_group_name_H-M_alt 'P 4/m m m'
_space_group_IT_number 123
_space_group_name_Hall '-P 4 2'
_cell_length_a 6.341
_cell_length_b 6.341
_cell_length_c 3.409
_cell_angle_alpha 90.00
_cell_angle_beta 90.00
_cell_angle_gamma 90.00
loop_
_atom_site_label
_atom_site_fract_x
_atom_site_fract_y
_atom_site_fract_z
K1 0.000 0.500 0.000
Co1 0.000 0.000 0.000
Si1 0.500 0.500 0.500
N1 0.000 0.000 0.500
# Formation energy from raw total energies ... 2.9 eV/f.u.
# Magnetization ... 2.6 μB per formula unit
# Calculated volume ... 137 Å³/cell

=====

[8]
# MnCd2Sb2, relaxed, DFT PBE
data_MnCd2Sb2
_space_group_name_H-M_alt 'P 4/m b m'
_space_group_IT_number 127
_space_group_name_Hall '-P 4 2ab'
_cell_length_a 7.050
_cell_length_b 7.050
_cell_length_c 4.981
_cell_angle_alpha 90.00
_cell_angle_beta 90.00
_cell_angle_gamma 90.00
loop_
_atom_site_label
_atom_site_fract_x
_atom_site_fract_y
_atom_site_fract_z
Mn1 0.000 0.000 0.000
Cd1 0.168 0.332 0.500
Sb1 0.155 0.655 0.000
# Formation energy from raw total energies ... 1.1 eV/f.u.
# Magnetization ... 3.0 μB per formula unit
# Calculated volume ... 248 Å³/cell

=====

[9]
# MnTeS2, relaxed, DFT PBE
data_MnTeS2
_space_group_name_H-M_alt 'P -1'
_space_group_IT_number 2
_cell_length_a 5.084
_cell_length_b 5.829
_cell_length_c 6.145
_cell_angle_alpha 87.27
_cell_angle_beta 66.98
_cell_angle_gamma 72.09
loop_
_space_group_symop_operation_xyz
'x,y,z'
'-x,-y,-z'
loop_
_atom_site_label
_atom_site_fract_x
_atom_site_fract_y
_atom_site_fract_z
Mn1 0.228 0.094 0.487
Te1 0.083 0.555 0.732
S1 0.268 0.773 0.298
S2 0.328 0.898 0.769
# Formation energy from raw total energies ... -0.8 eV/f.u.
# Magnetization ... 0.0 μB per formula unit
# Calculated volume ... 159 Å³/cell

=====

[10]
# LaSn3N, relaxed, DFT PBE
data_LaSn3N
_space_group_name_H-M_alt 'P m -3 m'
_space_group_IT_number 221
_space_group_name_Hall '-P 4 2 3'
_cell_length_a 4.894
_cell_length_b 4.894
_cell_length_c 4.894
_cell_angle_alpha 90.00
_cell_angle_beta 90.00
_cell_angle_gamma 90.00
loop_
_atom_site_label
_atom_site_fract_x
_atom_site_fract_y
_atom_site_fract_z
La1 0.000 0.000 0.000
Sn1 0.000 0.500 0.500
N1 0.500 0.500 0.500
# Formation energy from raw total energies ... 0.3 eV/f.u.
# Magnetization ... 0.1 μB per formula unit
# Calculated volume ... 117 Å³/cell

=====

[11]
# HoGa2Pt, relaxed, DFT PBE
data_HoGa2Pt
_space_group_name_H-M_alt 'R -3 m'
_space_group_IT_number 166
_space_group_name_Hall '-R 3 2"'
_cell_length_a 4.2582
_cell_length_b 4.2582
_cell_length_c 14.7031
_cell_angle_alpha 90.00
_cell_angle_beta 90.00
_cell_angle_gamma 120.00
loop_
_atom_site_label
_atom_site_fract_x
_atom_site_fract_y
_atom_site_fract_z
Ho1 0.0000 0.0000 0.0000
Ga1 0.0000 0.0000 0.2202
Pt1 0.0000 0.0000 0.5000
# Formation enthalpy at 0 K ... -0.7964 eV/atom
# Magnetization ... 0.0 μB per formula unit
# Calculated volume ... 231 Å³/cell

=====

[12]
# La4TbAg, relaxed, DFT PBE
data_La4TbAg
_space_group_name_H-M_alt 'P 4/m m m'
_space_group_IT_number 123
_space_group_name_Hall '-P 4 2'
_cell_length_a 3.768
_cell_length_b 3.768
_cell_length_c 13.912
_cell_angle_alpha 90.00
_cell_angle_beta 90.00
_cell_angle_gamma 90.00
loop_
_atom_site_label
_atom_site_fract_x
_atom_site_fract_y
_atom_site_fract_z
La1 0.000 0.000 0.140
La2 0.500 0.500 0.323
Tb1 0.000 0.000 0.500
Ag1 0.500 0.500 0.000
# Formation enthalpy at 0 K ... -0.0678 eV/atom
# Magnetization ... 0.0 μB per formula unit
# Calculated volume ... 198 Å³/cell

=====

[13]
# Ce2Ho2Si4Ir, relaxed, DFT PBE
data_Ce2Ho2Si4Ir
_space_group_name_H-M_alt 'I 4/m m m'
_space_group_IT_number 139
_space_group_name_Hall '-I 4 2'
_cell_length_a 7.057
_cell_length_b 7.057
_cell_length_c 8.084
_cell_angle_alpha 90.00
_cell_angle_beta 90.00
_cell_angle_gamma 90.00
loop_
_atom_site_label
_atom_site_fract_x
_atom_site_fract_y
_atom_site_fract_z
Ce1 0.000 0.000 0.169
Ho1 0.000 0.500 0.250
Si1 0.241 0.241 0.500
Ir1 0.000 0.000 0.500
# Formation energy from raw total energies ... -3.5 eV/f.u.
# Magnetization ... 0.8 μB per formula unit
# Calculated volume ... 403 Å³/cell

=====

[14]
# Pb5Cl, relaxed, DFT PBE
data_Pb5Cl
_space_group_name_H-M_alt 'P 6/m m m'
_space_group_IT_number 191
_space_group_name_Hall '-P 6 2'
_cell_length_a 6.3246
_cell_length_b 6.3246
_cell_length_c 5.8690
_cell_angle_alpha 90.00
_cell_angle_beta 90.00
_cell_angle_gamma 120.00
loop_
_atom_site_label
_atom_site_fract_x
_atom_site_fract_y
_atom_site_fract_z
Pb1 0.0000 0.5000 0.0000
Pb2 0.3333 0.6667 0.5000
Cl1 0.0000 0.0000 0.5000
# Formation energy from raw total energies ... 0.1 eV/f.u.
# Magnetization ... 0.0 μB per formula unit
# Calculated volume ... 203 Å³/cell

=====

[15]
# Nd2MgMn, relaxed, DFT PBE
data_Nd2MgMn
_space_group_name_H-M_alt 'F m -3 m'
_space_group_IT_number 225
_space_group_name_Hall '-F 4 2 3'
_cell_length_a 7.573
_cell_length_b 7.573
_cell_length_c 7.573
_cell_angle_alpha 90.00
_cell_angle_beta 90.00
_cell_angle_gamma 90.00
loop_
_atom_site_label
_atom_site_fract_x
_atom_site_fract_y
_atom_site_fract_z
Nd1 0.250 0.250 0.250
Mg1 0.000 0.000 0.000
Mn1 0.000 0.000 0.500
# Formation enthalpy at 0 K ... 0.1236 eV/atom
# Magnetization ... 3.4 μB per formula unit
# Calculated volume ... 434 Å³/cell

=====

[16]
# BaLuSnHg, relaxed, DFT PBE
data_BaLuSnHg
_space_group_name_H-M_alt 'F -4 3 m'
_space_group_IT_number 216
_space_group_name_Hall 'F -4 2 3'
_cell_length_a 7.909
_cell_length_b 7.909
_cell_length_c 7.909
_cell_angle_alpha 90.00
_cell_angle_beta 90.00
_cell_angle_gamma 90.00
loop_
_atom_site_label
_atom_site_fract_x
_atom_site_fract_y
_atom_site_fract_z
Ba1 0.000 0.000 0.000
Lu1 0.000 0.000 0.500
Sn1 0.250 0.250 0.750
Hg1 0.250 0.250 0.250
# Formation enthalpy at 0 K ... -0.4045 eV/atom
# Magnetization ... 0.0 μB per formula unit
# Calculated volume ... 495 Å³/cell

=====

[17]
# MgOsPt3, relaxed, DFT PBE
data_MgOsPt3
_space_group_name_H-M_alt 'P m -3 m'
_space_group_IT_number 221
_space_group_name_Hall '-P 4 2 3'
_cell_length_a 4.842
_cell_length_b 4.842
_cell_length_c 4.842
_cell_angle_alpha 90.00
_cell_angle_beta 90.00
_cell_angle_gamma 90.00
loop_
_atom_site_label
_atom_site_fract_x
_atom_site_fract_y
_atom_site_fract_z
Mg1 0.000 0.000 0.000
Os1 0.500 0.500 0.500
Pt1 0.000 0.500 0.500
# Formation enthalpy at 0 K ... 0.9054 eV/atom
# Magnetization ... 0.0 μB per formula unit
# Calculated volume ... 114 Å³/cell

=====

[18]
# ScTlSn, relaxed, DFT PBE
data_ScTlSn
_space_group_name_H-M_alt 'C 1 m 1'
_space_group_IT_number 8
_cell_length_a 10.831
_cell_length_b 4.372
_cell_length_c 6.377
_cell_angle_alpha 90.00
_cell_angle_beta 102.88
_cell_angle_gamma 90.00
loop_
_space_group_symop_operation_xyz
'x,y,z'
'x,-y,z'
'x+1/2,y+1/2,z'
'x+1/2,-y+1/2,z'
loop_
_atom_site_label
_atom_site_fract_x
_atom_site_fract_y
_atom_site_fract_z
Sc1 0.000 0.000 0.000
Sc2 0.218 0.500 0.357
Tl1 0.044 0.000 0.498
Tl2 0.365 0.000 0.674
Sn1 0.177 0.500 0.855
Sn2 0.355 0.000 0.171
# Formation enthalpy at 0 K ... -0.2786 eV/atom
# Magnetization ... 0.0 μB per formula unit
# Calculated volume ... 294 Å³/cell

=====

[19]
# CsBeTl2, relaxed, DFT PBE
data_CsBeTl2
_space_group_name_H-M_alt 'I 41/a m d'
_space_group_IT_number 141
_cell_length_a 7.114
_cell_length_b 7.114
_cell_length_c 12.884
_cell_angle_alpha 90.00
_cell_angle_beta 90.00
_cell_angle_gamma 90.00
loop_
_space_group_symop_operation_xyz
'x,y,z'
'-x,-y,-z'
'-y+1/4,x+3/4,z+1/4'
'y+1/4,-x+3/4,-z+1/4'
'-x+1/2,-y,z+1/2'
'x+1/2,y,-z+1/2'
'y+1/4,-x+1/4,z+3/4'
'-y+1/4,x+1/4,-z+3/4'
'x,-y,-z'
'-x,y,z'
'-y+1/4,-x+1/4,-z+3/4'
'y+1/4,x+1/4,z+3/4'
'-x+1/2,y,-z+1/2'
'x+1/2,-y,z+1/2'
'y+1/4,x+3/4,-z+1/4'
'-y+1/4,-x+3/4,z+1/4'
'x+1/2,y+1/2,z+1/2'
'-x+1/2,-y+1/2,-z+1/2'
'-y+3/4,x+1/4,z+3/4'
'y+3/4,-x+1/4,-z+3/4'
'-x,-y+1/2,z'
'x,y+1/2,-z'
'y+3/4,-x+3/4,z+1/4'
'-y+3/4,x+3/4,-z+1/4'
'x+1/2,-y+1/2,-z+1/2'
'-x+1/2,y+1/2,z+1/2'
'-y+3/4,-x+3/4,-z+1/4'
'y+3/4,x+3/4,z+1/4'
'-x,y+1/2,-z'
'x,-y+1/2,z'
'y+3/4,x+1/4,-z+3/4'
'-y+3/4,-x+1/4,z+3/4'
loop_
_atom_site_label
_atom_site_fract_x
_atom_site_fract_y
_atom_site_fract_z
Cs1 0.000 0.250 0.375
Be1 0.000 0.250 0.875
Tl1 0.000 0.000 0.000
# Formation enthalpy at 0 K ... 0.2700 eV/atom
# Magnetization ... 0.0 μB per formula unit
# Calculated volume ... 652 Å³/cell

=====

[20]
# TlMoN2, relaxed, DFT PBE
data_TlMoN2
_space_group_name_H-M_alt 'I -4 2 d'
_space_group_IT_number 122
_space_group_name_Hall 'I -4 2bw'
_cell_length_a 5.749
_cell_length_b 5.749
_cell_length_c 9.157
_cell_angle_alpha 90.00
_cell_angle_beta 90.00
_cell_angle_gamma 90.00
loop_
_atom_site_label
_atom_site_fract_x
_atom_site_fract_y
_atom_site_fract_z
Tl1 0.000 0.000 0.000
Mo1 0.000 0.000 0.500
N1 0.079 0.250 0.625
# Formation energy from raw total energies ... -0.2 eV/f.u.
# Magnetization ... 0.0 μB per formula unit
# Calculated volume ... 303 Å³/cell